# 1
Crystalline La6TlZn at its relaxed geometry. Source: Alexandria via LeMat-Bulk, functional PBE.

abc: 7.2838 12.1928 7.2072
angles: 90.00 118.19 90.00
Space group C2/m (No. 12)
Inequivalent atoms, fractional coordinates:
La: 0.2125 0.2097 0.2442 x8
La: 0.2342 0.0000 0.7616 x4
Tl: 0.0000 0.5000 0.5000 x2
Zn: 0.0000 0.0000 0.0000 x2

Properties
The value obtained for the total energy is -4.104 eV/atom. Its formation energy from the elements is 46.2 meV per atom. Its crystal system is monoclinic.

=====

# 2
Crystalline LaTlZn at its relaxed geometry. Source: Alexandria via LeMat-Bulk, functional PBE.

abc: 6.6868 5.1151 9.1892
angles: 90.00 90.00 90.00
Space group Pnma (No. 62)
Inequivalent atoms, fractional coordinates:
La: 0.2129 0.2500 0.0800 x4
Tl: 0.0137 0.2500 0.7307 x4
Zn: 0.1922 0.2500 0.4124 x4

Properties
The value obtained for the total energy is -3.216 eV/atom. Its formation energy from the elements is -360.3 meV per atom. Its crystal system is orthorhombic.

=====

# 3
Crystalline LaTlZn at its relaxed geometry. Source: Alexandria via LeMat-Bulk, functional PBE.

abc: 5.3706 5.3706 6.5805
angles: 90.00 90.00 120.00
Space group P6_3/mmc (No. 194)
Inequivalent atoms, fractional coordinates:
La: 0.3333 0.6667 0.2500 x2
Tl: 0.3333 0.6667 0.7500 x2
Zn: 0.0000 0.0000 0.0000 x2

Properties
The value obtained for the total energy is -3.086 eV/atom. Its formation energy from the elements is -230.4 meV per atom. Its crystal system is hexagonal.

=====

# 4
Crystalline La2Tl2Zn at its relaxed geometry. Source: Alexandria via LeMat-Bulk, functional PBE.

abc: 7.6739 7.6739 5.0237
angles: 90.00 90.00 90.00
Space group P4/mbm (No. 127)
Inequivalent atoms, fractional coordinates:
La: 0.1662 0.3338 0.0000 x4
Tl: 0.1429 0.6429 0.5000 x4
Zn: 0.0000 0.0000 0.5000 x2

Properties
The value obtained for the total energy is -3.452 eV/atom. Its formation energy from the elements is -279.4 meV per atom. Its crystal system is tetragonal.

=====

# 5
Crystalline LaTlZn at its relaxed geometry. Source: Alexandria via LeMat-Bulk, functional PBE.

abc: 11.3501 4.8467 7.8070
angles: 90.00 132.75 90.00
Space group C2/m (No. 12)
Inequivalent atoms, fractional coordinates:
La: 0.0299 0.0000 0.2792 x4
Tl: 0.1748 0.5000 0.7284 x4
Zn: 0.1508 0.5000 0.1092 x4

Properties
The value obtained for the total energy is -3.215 eV/atom. Its formation energy from the elements is -358.9 meV per atom. Its crystal system is monoclinic.

=====

# 6
Crystalline LaTlZn at its relaxed geometry. Source: Alexandria via LeMat-Bulk, functional PBE.

abc: 6.9357 6.9357 6.9357
angles: 90.00 90.00 90.00
Space group F-43m (No. 216)
Inequivalent atoms, fractional coordinates:
La: 0.0000 0.0000 0.0000 x4
Tl: 0.0000 0.0000 0.5000 x4
Zn: 0.2500 0.2500 0.7500 x4

Properties
The value obtained for the total energy is -3.202 eV/atom. Its formation energy from the elements is -346.5 meV per atom. Its crystal system is cubic.

=====

# 7
Crystalline La2ZrTl at its relaxed geometry. Source: Alexandria via LeMat-Bulk, functional PBE.

abc: 3.5670 5.5623 5.6942
angles: 90.00 90.00 90.00
Space group Pmmm (No. 47)
Inequivalent atoms, fractional coordinates:
La: 0.0000 0.0000 0.0000 x1
La: 0.5000 0.5000 0.0000 x1
Zr: 0.0000 0.5000 0.5000 x1
Tl: 0.5000 0.0000 0.5000 x1

Properties
The value obtained for the total energy is -5.153 eV/atom. Its formation energy from the elements is 38.9 meV per atom. Its crystal system is orthorhombic.

=====

# 8
Crystalline La2ZrTl at its relaxed geometry. Source: Alexandria via LeMat-Bulk, functional PBE.

abc: 11.6209 3.4161 5.8641
angles: 90.00 97.16 90.00
Space group C2/m (No. 12)
Inequivalent atoms, fractional coordinates:
La: 0.2419 0.0000 0.2404 x4
Zr: 0.0000 0.0000 0.5000 x2
Tl: 0.0000 0.5000 0.0000 x2

Properties
The value obtained for the total energy is -5.126 eV/atom. Its formation energy from the elements is 66.6 meV per atom. Its crystal system is monoclinic.

=====

# 9
Crystalline La2ZrTl at its relaxed geometry. Source: Alexandria via LeMat-Bulk, functional PBE.

abc: 4.8128 4.8128 10.0513
angles: 90.00 90.00 90.00
Space group I4/mmm (No. 139)
Inequivalent atoms, fractional coordinates:
La: 0.0000 0.5000 0.2500 x4
Zr: 0.0000 0.0000 0.0000 x2
Tl: 0.0000 0.0000 0.5000 x2

Properties
The value obtained for the total energy is -5.222 eV/atom. Its formation energy from the elements is -29.8 meV per atom. Its crystal system is tetragonal.

=====

# 10
Crystalline LaZrTl at its relaxed geometry. Source: Alexandria via LeMat-Bulk, functional PBE.

abc: 5.2787 5.2787 3.5334
angles: 90.00 90.00 120.00
Space group P3m1 (No. 156)
Inequivalent atoms, fractional coordinates:
La: 0.0000 0.0000 0.0000 x1
Zr: 0.3333 0.6667 0.5017 x1
Tl: 0.6667 0.3333 0.4974 x1

Properties
The value obtained for the total energy is -5.236 eV/atom. Its formation energy from the elements is 44.6 meV per atom. Its crystal system is trigonal.

=====

# 11
Crystalline LaZrTl at its relaxed geometry. Source: Alexandria via LeMat-Bulk, functional PBE.

abc: 3.5151 4.2387 11.3124
angles: 90.00 90.00 90.00
Space group Imm2 (No. 44)
Inequivalent atoms, fractional coordinates:
La: 0.0000 0.0000 0.0000 x2
Zr: 0.0000 0.0000 0.3110 x2
Tl: 0.0000 0.0000 0.6869 x2

Properties
The value obtained for the total energy is -5.297 eV/atom. Its formation energy from the elements is -16.0 meV per atom. Its crystal system is orthorhombic.

=====

# 12
Crystalline La2ZrTl2 at its relaxed geometry. Source: Alexandria via LeMat-Bulk, functional PBE.

abc: 8.0111 8.0111 4.7989
angles: 90.00 90.00 90.00
Space group P4/mbm (No. 127)
Inequivalent atoms, fractional coordinates:
La: 0.1693 0.3307 0.0000 x4
Zr: 0.0000 0.0000 0.5000 x2
Tl: 0.1371 0.6371 0.5000 x4

Properties
The value obtained for the total energy is -4.779 eV/atom. Its formation energy from the elements is -151.8 meV per atom. Its crystal system is tetragonal.

=====

# 13
Crystalline La2ZrTl at its relaxed geometry. Source: Alexandria via LeMat-Bulk, functional PBE.

abc: 11.6036 3.5072 5.8663
angles: 90.00 102.13 90.00
Space group Cm (No. 8)
Inequivalent atoms, fractional coordinates:
La: 0.0000 0.0000 0.0000 x2
La: 0.2207 0.0000 0.7401 x2
Zr: 0.4698 0.0000 0.4780 x2
Tl: 0.2466 0.5000 0.2610 x2

Properties
The value obtained for the total energy is -5.245 eV/atom. Its formation energy from the elements is -53.0 meV per atom. Its crystal system is monoclinic.

=====

# 14
Crystalline La2ZrTl at its relaxed geometry. Source: Alexandria via LeMat-Bulk, functional PBE.

abc: 6.8996 9.7677 3.4616
angles: 90.00 90.00 90.00
Space group Cmmm (No. 65)
Inequivalent atoms, fractional coordinates:
La: 0.2500 0.2500 0.0000 x4
Zr: 0.0000 0.0000 0.5000 x2
Tl: 0.0000 0.5000 0.5000 x2

Properties
The value obtained for the total energy is -5.244 eV/atom. Its formation energy from the elements is -51.7 meV per atom. Its crystal system is orthorhombic.

=====

# 15
Crystalline La2ZrTl at its relaxed geometry. Source: Alexandria via LeMat-Bulk, functional PBE.

abc: 8.7909 8.7909 6.3398
angles: 90.00 90.00 90.00
Space group I-42d (No. 122)
Inequivalent atoms, fractional coordinates:
La: 0.2492 0.2500 0.1250 x8
Zr: 0.0000 0.0000 0.5000 x4
Tl: 0.0000 0.0000 0.0000 x4

Properties
The value obtained for the total energy is -4.945 eV/atom. Its formation energy from the elements is 247.8 meV per atom. Its crystal system is tetragonal.

=====

# 16
Crystalline La2ZrTl at its relaxed geometry. Source: Alexandria via LeMat-Bulk, functional PBE.

abc: 3.5220 3.5220 34.1532
angles: 90.00 90.00 120.00
Space group R-3m (No. 166, hexagonal axes)
Inequivalent atoms, fractional coordinates:
La: 0.0000 0.0000 0.2474 x6
Zr: 0.0000 0.0000 0.5000 x3
Tl: 0.0000 0.0000 0.0000 x3

Properties
The value obtained for the total energy is -5.167 eV/atom. Its formation energy from the elements is 25.0 meV per atom. Its crystal system is trigonal.

=====

# 17
Crystalline La2ZrTl at its relaxed geometry. Source: Alexandria via LeMat-Bulk, functional PBE.

abc: 3.5562 3.5562 9.3913
angles: 90.00 90.00 90.00
Space group P4mm (No. 99)
Inequivalent atoms, fractional coordinates:
La: 0.0000 0.0000 0.0000 x1
La: 0.5000 0.5000 0.3065 x1
Zr: 0.5000 0.5000 0.7563 x1
Tl: 0.0000 0.0000 0.5534 x1

Properties
The value obtained for the total energy is -5.237 eV/atom. Its formation energy from the elements is -44.9 meV per atom. Its crystal system is tetragonal.

=====

# 18
Crystalline La2ZrTl at its relaxed geometry. Source: Alexandria via LeMat-Bulk, functional PBE.

abc: 5.8158 5.8158 3.5558
angles: 90.00 90.00 90.00
Space group P4/mmm (No. 123)
Inequivalent atoms, fractional coordinates:
La: 0.0000 0.5000 0.0000 x2
Zr: 0.0000 0.0000 0.5000 x1
Tl: 0.5000 0.5000 0.5000 x1

Properties
The value obtained for the total energy is -5.221 eV/atom. Its formation energy from the elements is -28.8 meV per atom. Its crystal system is tetragonal.

=====

# 19
Crystalline La2ZrTl at its relaxed geometry. Source: Alexandria via LeMat-Bulk, functional PBE.

abc: 4.1994 4.1994 6.8426
angles: 90.00 90.00 90.00
Space group P4/mmm (No. 123)
Inequivalent atoms, fractional coordinates:
La: 0.0000 0.0000 0.2478 x2
Zr: 0.5000 0.5000 0.0000 x1
Tl: 0.5000 0.5000 0.5000 x1

Properties
The value obtained for the total energy is -5.193 eV/atom. Its formation energy from the elements is -0.8 meV per atom. Its crystal system is tetragonal.

=====

# 20
Crystalline La2Zr2Tl at its relaxed geometry. Source: Alexandria via LeMat-Bulk, functional PBE.

abc: 7.8102 7.8102 4.7662
angles: 90.00 90.00 90.00
Space group P4/mbm (No. 127)
Inequivalent atoms, fractional coordinates:
La: 0.1682 0.3318 0.0000 x4
Zr: 0.1376 0.6376 0.5000 x4
Tl: 0.0000 0.0000 0.5000 x2

Properties
The value obtained for the total energy is -5.825 eV/atom. Its formation energy from the elements is 38.5 meV per atom. Its crystal system is tetragonal.

=====

# 21
Crystalline La4ZrTl at its relaxed geometry. Source: Alexandria via LeMat-Bulk, functional PBE.

abc: 9.2186 9.2186 9.2186
angles: 90.00 90.00 90.00
Space group F-43m (No. 216)
Inequivalent atoms, fractional coordinates:
La: 0.1240 0.1240 0.3760 x16
Zr: 0.2500 0.2500 0.7500 x4
Tl: 0.0000 0.0000 0.0000 x4

Properties
The value obtained for the total energy is -4.743 eV/atom. Its formation energy from the elements is 360.6 meV per atom. Its crystal system is cubic.

=====

# 22
Crystalline LaZr4Tl at its relaxed geometry. Source: Alexandria via LeMat-Bulk, functional PBE.

abc: 8.5120 8.5120 8.5120
angles: 90.00 90.00 90.00
Space group F-43m (No. 216)
Inequivalent atoms, fractional coordinates:
La: 0.0000 0.0000 0.0000 x4
Zr: 0.1273 0.1273 0.3727 x16
Tl: 0.2500 0.2500 0.7500 x4

Properties
The value obtained for the total energy is -6.685 eV/atom. Its formation energy from the elements is 229.2 meV per atom. Its crystal system is cubic.

=====

# 23
Crystalline La2ZrTl at its relaxed geometry. Source: Alexandria via LeMat-Bulk, functional PBE.

abc: 3.6503 5.6114 11.9221
angles: 90.00 90.00 90.00
Space group Imm2 (No. 44)
Inequivalent atoms, fractional coordinates:
La: 0.0000 0.0000 0.0000 x2
La: 0.0000 0.5000 0.2100 x2
Zr: 0.0000 0.5000 0.7575 x2
Tl: 0.0000 0.0000 0.4600 x2

Properties
The value obtained for the total energy is -5.237 eV/atom. Its formation energy from the elements is -45.2 meV per atom. Its crystal system is orthorhombic.

=====

# 24
Crystalline La2ZrTl at its relaxed geometry. Source: Alexandria via LeMat-Bulk, functional PBE.

abc: 3.6163 5.7428 11.4843
angles: 90.00 90.00 90.00
Space group Cmm2 (No. 35)
Inequivalent atoms, fractional coordinates:
La: 0.0000 0.0000 0.0000 x2
La: 0.0000 0.5000 0.2956 x2
Zr: 0.0000 0.5000 0.7653 x2
Tl: 0.0000 0.0000 0.5458 x2

Properties
The value obtained for the total energy is -5.105 eV/atom. Its formation energy from the elements is 87.4 meV per atom. Its crystal system is orthorhombic.

=====

# 25
Crystalline La2ZrTl at its relaxed geometry. Source: Alexandria via LeMat-Bulk, functional PBE.

abc: 3.4023 5.6085 6.0928
angles: 90.00 97.81 90.00
Space group P2/m (No. 10)
Inequivalent atoms, fractional coordinates:
La: 0.2272 0.0000 0.2585 x2
Zr: 0.0000 0.5000 0.5000 x1
Tl: 0.5000 0.5000 0.0000 x1

Properties
The value obtained for the total energy is -5.111 eV/atom. Its formation energy from the elements is 81.6 meV per atom. Its crystal system is monoclinic.

=====

# 26
Crystalline La12ZrTl3 at its relaxed geometry. Source: Alexandria via LeMat-Bulk, functional PBE.

abc: 5.0554 5.0554 20.4330
angles: 90.00 90.00 90.00
Space group P4/mmm (No. 123)
Inequivalent atoms, fractional coordinates:
La: 0.0000 0.0000 0.0000 x1
La: 0.0000 0.0000 0.2492 x2
La: 0.0000 0.0000 0.5000 x1
La: 0.0000 0.5000 0.1251 x4
La: 0.0000 0.5000 0.3778 x4
Zr: 0.5000 0.5000 0.5000 x1
Tl: 0.5000 0.5000 0.0000 x1
Tl: 0.5000 0.5000 0.2483 x2

Properties
The value obtained for the total energy is -4.817 eV/atom. Its formation energy from the elements is -143.7 meV per atom. Its crystal system is tetragonal.

=====

# 27
Crystalline LaZr3Tl at its relaxed geometry. Source: Alexandria via LeMat-Bulk, functional PBE.

abc: 5.1640 5.1640 5.1640
angles: 90.00 90.00 90.00
Space group Pm-3m (No. 221)
Inequivalent atoms, fractional coordinates:
La: 0.0000 0.0000 0.0000 x1
Zr: 0.0000 0.0000 0.5000 x3
Tl: 0.5000 0.5000 0.5000 x1

Properties
The value obtained for the total energy is -5.456 eV/atom. Its formation energy from the elements is 1131.4 meV per atom. Its crystal system is cubic.

=====

# 28
Crystalline LaZrTl at its relaxed geometry. Source: Alexandria via LeMat-Bulk, functional PBE.

abc: 7.3104 7.3104 7.3104
angles: 90.00 90.00 90.00
Space group F-43m (No. 216)
Inequivalent atoms, fractional coordinates:
La: 0.0000 0.0000 0.0000 x4
Zr: 0.0000 0.0000 0.5000 x4
Tl: 0.2500 0.2500 0.7500 x4

Properties
The value obtained for the total energy is -5.008 eV/atom. Its formation energy from the elements is 273.1 meV per atom. Its crystal system is cubic.